1.
A relaxed K3RbTe2O6 crystal. Source: Alexandria via LeMat-Bulk, functional PBE-GGA.

Cell lengths 6.6110, 6.6110, 7.2621 Å; angles 90.00, 90.00, 120.00 degrees
Space group P-3m1 (No. 164)
One atom of each set of equivalent atoms:
K 0.0000 0.0000 0.0000 (multiplicity 1)
K 0.3333 0.6667 0.6207 (multiplicity 2)
Rb 0.0000 0.0000 0.5000 (multiplicity 1)
Te 0.3333 0.6667 0.1426 (multiplicity 2)
O 0.1874 0.3749 0.2610 (multiplicity 6)

Computed properties:
uncorrected formation energy = -1.477 eV/atom
electronic total energy = -4.83 eV/atom
total magnetization = 0.00 μB per formula unit
N(E_F) = 0.00 states/eV/atom

=====

2.
A relaxed KRb2TeO crystal. Source: Alexandria via LeMat-Bulk, functional PBE-GGA.

Cell lengths 5.555, 5.555, 5.513 Å; angles 90.00, 90.00, 90.00 degrees
Space group P4/mmm (No. 123)
One atom of each set of equivalent atoms:
K 0.000 0.000 0.000 (multiplicity 1)
Rb 0.000 0.500 0.500 (multiplicity 2)
Te 0.500 0.500 0.000 (multiplicity 1)
O 0.000 0.000 0.500 (multiplicity 1)

Computed properties:
uncorrected formation energy = -0.914 eV/atom
electronic total energy = -3.14 eV/atom
total magnetization = 1.04 μB per formula unit
N(E_F) = 1.75 states/eV/atom

=====

3.
A relaxed KRb3Te2O9 crystal. Source: Alexandria via LeMat-Bulk, functional PBE-GGA.

Cell lengths 6.0740, 6.0740, 7.9053 Å; angles 90.00, 90.00, 120.00 degrees
Space group P-3m1 (No. 164)
One atom of each set of equivalent atoms:
K 0.0000 0.0000 0.0000 (multiplicity 1)
Rb 0.0000 0.0000 0.5000 (multiplicity 1)
Rb 0.3333 0.6667 0.1598 (multiplicity 2)
Te 0.3333 0.6667 0.6496 (multiplicity 2)
O 0.0000 0.5000 0.5000 (multiplicity 3)
O 0.1832 0.3664 0.7800 (multiplicity 6)

Computed properties:
uncorrected formation energy = -1.101 eV/atom
electronic total energy = -4.76 eV/atom
total magnetization = 2.16 μB per formula unit
N(E_F) = 0.69 states/eV/atom

=====

4.
A relaxed K3Rb3Te2O crystal. Source: Alexandria via LeMat-Bulk, functional PBE-GGA.

Cell lengths 8.8448, 8.8448, 4.8474 Å; angles 90.00, 90.00, 120.00 degrees
Space group P-62m (No. 189)
One atom of each set of equivalent atoms:
K 0.0000 0.7745 0.0000 (multiplicity 3)
Rb 0.0000 0.3827 0.5000 (multiplicity 3)
Te 0.3333 0.6667 0.0000 (multiplicity 2)
O 0.0000 0.0000 0.5000 (multiplicity 1)

Computed properties:
uncorrected formation energy = -0.893 eV/atom
electronic total energy = -2.83 eV/atom
total magnetization = 0.10 μB per formula unit

=====

5.
A relaxed KRb2TeO4 crystal. Source: Alexandria via LeMat-Bulk, functional PBE-GGA.

Cell lengths 7.092, 7.508, 11.421 Å; angles 90.00, 90.00, 90.00 degrees
Space group Imma (No. 74)
One atom of each set of equivalent atoms:
K 0.000 0.000 0.000 (multiplicity 4)
Rb 0.000 0.000 0.500 (multiplicity 4)
Rb 0.250 0.250 0.250 (multiplicity 4)
Te 0.250 0.250 0.750 (multiplicity 4)
O 0.000 0.064 0.750 (multiplicity 8)
O 0.243 0.250 0.923 (multiplicity 8)

Computed properties:
uncorrected formation energy = -1.194 eV/atom
electronic total energy = -4.45 eV/atom
total magnetization = 0.00 μB per formula unit
N(E_F) = 0.19 states/eV/atom

=====

6.
A relaxed KRbTlO crystal. Source: Alexandria via LeMat-Bulk, functional PBE-GGA.

Cell lengths 3.829, 4.387, 14.076 Å; angles 90.00, 90.00, 90.00 degrees
Space group Amm2 (No. 38)
One atom of each set of equivalent atoms:
K 0.000 0.000 0.000 (multiplicity 2)
Rb 0.000 0.000 0.322 (multiplicity 2)
Tl 0.500 0.000 0.635 (multiplicity 2)
O 0.500 0.000 0.474 (multiplicity 2)

Computed properties:
uncorrected formation energy = -0.692 eV/atom
electronic total energy = -3.04 eV/atom
total magnetization = 0.00 μB per formula unit
N(E_F) = 0.47 states/eV/atom

=====

7.
A relaxed K2RbTlO crystal. Source: Alexandria via LeMat-Bulk, functional PBE-GGA.

Cell lengths 5.497, 5.497, 5.816 Å; angles 90.00, 90.00, 90.00 degrees
Space group P4/mmm (No. 123)
One atom of each set of equivalent atoms:
K 0.000 0.500 0.000 (multiplicity 2)
Rb 0.000 0.000 0.500 (multiplicity 1)
Tl 0.500 0.500 0.500 (multiplicity 1)
O 0.000 0.000 0.000 (multiplicity 1)

Computed properties:
uncorrected formation energy = -0.454 eV/atom
electronic total energy = -2.55 eV/atom
total magnetization = 0.78 μB per formula unit
N(E_F) = 0.87 states/eV/atom

=====

8.
A relaxed KRb4U3O12 crystal. Source: Alexandria via LeMat-Bulk, functional PBE-GGA.

Cell lengths 8.938, 8.938, 8.938 Å; angles 90.00, 90.00, 90.00 degrees
Space group Im-3m (No. 229)
One atom of each set of equivalent atoms:
K 0.000 0.000 0.000 (multiplicity 2)
Rb 0.250 0.250 0.250 (multiplicity 8)
U 0.000 0.000 0.500 (multiplicity 6)
O 0.000 0.000 0.288 (multiplicity 12)
O 0.000 0.250 0.500 (multiplicity 12)

Computed properties:
uncorrected formation energy = -2.616 eV/atom
electronic total energy = -7.53 eV/atom
total magnetization = 0.70 μB per formula unit
N(E_F) = 0.71 states/eV/atom

=====

9.
A relaxed KRb2U2O7 crystal. Source: Alexandria via LeMat-Bulk, functional PBE-GGA.

Cell lengths 4.349, 4.349, 22.920 Å; angles 90.00, 90.00, 90.00 degrees
Space group I4/mmm (No. 139)
One atom of each set of equivalent atoms:
K 0.000 0.000 0.000 (multiplicity 2)
Rb 0.000 0.000 0.191 (multiplicity 4)
U 0.000 0.000 0.406 (multiplicity 4)
O 0.000 0.000 0.320 (multiplicity 4)
O 0.000 0.000 0.500 (multiplicity 2)
O 0.000 0.500 0.092 (multiplicity 8)

Computed properties:
uncorrected formation energy = -2.749 eV/atom
electronic total energy = -7.78 eV/atom
total magnetization = 1.00 μB per formula unit
N(E_F) = 0.56 states/eV/atom

=====

10.
A relaxed KRb3U2O9 crystal. Source: Alexandria via LeMat-Bulk, functional PBE-GGA.

Cell lengths 6.3599, 6.3599, 7.9730 Å; angles 90.00, 90.00, 120.00 degrees
Space group P-3m1 (No. 164)
One atom of each set of equivalent atoms:
K 0.0000 0.0000 0.0000 (multiplicity 1)
Rb 0.0000 0.0000 0.5000 (multiplicity 1)
Rb 0.3333 0.6667 0.1550 (multiplicity 2)
U 0.3333 0.6667 0.6510 (multiplicity 2)
O 0.0000 0.5000 0.5000 (multiplicity 3)
O 0.1866 0.3731 0.7924 (multiplicity 6)

Computed properties:
uncorrected formation energy = -2.332 eV/atom
electronic total energy = -7.08 eV/atom
total magnetization = 2.15 μB per formula unit
N(E_F) = 0.60 states/eV/atom

=====

Repeat the fifth record exactly.
A relaxed KRb2TeO4 crystal. Source: Alexandria via LeMat-Bulk, functional PBE-GGA.

Cell lengths 7.092, 7.508, 11.421 Å; angles 90.00, 90.00, 90.00 degrees
Space group Imma (No. 74)
One atom of each set of equivalent atoms:
K 0.000 0.000 0.000 (multiplicity 4)
Rb 0.000 0.000 0.500 (multiplicity 4)
Rb 0.250 0.250 0.250 (multiplicity 4)
Te 0.250 0.250 0.750 (multiplicity 4)
O 0.000 0.064 0.750 (multiplicity 8)
O 0.243 0.250 0.923 (multiplicity 8)

Computed properties:
uncorrected formation energy = -1.194 eV/atom
electronic total energy = -4.45 eV/atom
total magnetization = 0.00 μB per formula unit
N(E_F) = 0.19 states/eV/atom